BaLi3Ca | SCAN | PBEsol geometry Values from VASP.

Properties
* SG: Pm-3m
* E: -54.52 eV for the cell shown
* DFT formation energy: 1.9 eV/f.u.
* crystal system: cubic
* volume: 39.7 Å³/atom

Structure (Quantum ESPRESSO input):
```
&SYSTEM
  ibrav = 0, nat = 5, ntyp = 3
/
ATOMIC_SPECIES
Ba 137.33 Ba.upf
Li 6.94 Li.upf
Ca 40.08 Ca.upf
CELL_PARAMETERS angstrom
5.834 0.000 0.000
0.000 5.834 0.000
0.000 0.000 5.834
ATOMIC_POSITIONS crystal
Ba 0.000 0.000 0.000
Li 0.000 0.500 0.500
Li 0.500 0.000 0.500
Li 0.500 0.500 0.000
Ca 0.500 0.500 0.500
```

***

Ir2OsRu | SCAN | PBEsol geometry Values from VASP.

Properties
* SG: R3m
* E: -248.83 eV for the cell shown
* DFT formation energy: 0.1 eV/f.u.
* crystal system: trigonal
* volume: 13.9 Å³/atom

Structure (Quantum ESPRESSO input):
```
&SYSTEM
  ibrav = 0, nat = 4, ntyp = 3
/
ATOMIC_SPECIES
Ir 192.22 Ir.upf
Os 190.23 Os.upf
Ru 101.07 Ru.upf
CELL_PARAMETERS angstrom
1.348 0.778 8.805
-1.348 0.778 8.805
0.000 -1.556 8.805
ATOMIC_POSITIONS crystal
Ir 0.000 0.000 0.000
Ir 0.248 0.248 0.248
Os 0.498 0.498 0.498
Ru 0.749 0.749 0.749
```

***

TlMoRu2 | SCAN | PBEsol geometry Values from VASP.

Properties
* SG: C2/m
* E: -175.02 eV for the cell shown
* DFT formation energy: 1.9 eV/f.u.
* crystal system: monoclinic
* volume: 15.9 Å³/atom

Structure (Quantum ESPRESSO input):
```
&SYSTEM
  ibrav = 0, nat = 4, ntyp = 3
/
ATOMIC_SPECIES
Tl 204.38 Tl.upf
Mo 95.94 Mo.upf
Ru 101.07 Ru.upf
CELL_PARAMETERS angstrom
4.534 -1.432 0.000
4.534 1.432 0.000
-1.003 0.000 4.899
ATOMIC_POSITIONS crystal
Tl 0.000 0.000 0.000
Mo 0.500 0.500 0.500
Ru 0.238 0.238 0.710
Ru 0.762 0.762 0.290
```

***

ZrNbSb2C | SCAN | PBEsol geometry Values from VASP.

Properties
* SG: P4/mmm
* E: -146.63 eV for the cell shown
* formation energy (no corrections): 365 meV/atom
* crystal system: tetragonal
* volume: 19.0 Å³/atom

Structure (Quantum ESPRESSO input):
```
&SYSTEM
  ibrav = 0, nat = 5, ntyp = 4
/
ATOMIC_SPECIES
Zr 91.22 Zr.upf
Nb 92.91 Nb.upf
Sb 121.76 Sb.upf
C 12.01 C.upf
CELL_PARAMETERS angstrom
4.822 0.000 0.000
0.000 4.822 0.000
0.000 0.000 4.085
ATOMIC_POSITIONS crystal
Zr 0.000 0.000 0.000
Nb 0.500 0.500 0.000
Sb 0.000 0.500 0.500
Sb 0.500 0.000 0.500
C 0.500 0.500 0.500
```

***

YAuSe2 | SCAN | PBEsol geometry Values from VASP.

Properties
* SG: R3m
* E: -141.80 eV for the cell shown
* formation energy (no corrections): -1160 meV/atom
* crystal system: trigonal
* volume: 25.7 Å³/atom

Structure (Quantum ESPRESSO input):
```
&SYSTEM
  ibrav = 0, nat = 4, ntyp = 3
/
ATOMIC_SPECIES
Y 88.91 Y.upf
Au 196.97 Au.upf
Se 78.96 Se.upf
CELL_PARAMETERS angstrom
2.116 1.222 6.629
-2.116 1.222 6.629
0.000 -2.443 6.629
ATOMIC_POSITIONS crystal
Y 0.000 0.000 0.000
Au 0.762 0.762 0.762
Se 0.265 0.265 0.265
Se 0.452 0.452 0.452
```

***

LiMgBe4 | SCAN | PBEsol geometry Values from VASP.

Properties
* SG: F-43m
* E: -24.39 eV for the cell shown
* DFT formation energy: 0.4 eV/f.u.
* crystal system: cubic
* volume: 10.8 Å³/atom

Structure (Quantum ESPRESSO input):
```
&SYSTEM
  ibrav = 0, nat = 6, ntyp = 3
/
ATOMIC_SPECIES
Li 6.94 Li.upf
Mg 24.30 Mg.upf
Be 9.01 Be.upf
CELL_PARAMETERS angstrom
0.000 3.189 3.189
3.189 0.000 3.189
3.189 3.189 0.000
ATOMIC_POSITIONS crystal
Li 0.000 0.000 0.000
Mg 0.750 0.750 0.750
Be 0.375 0.375 0.375
Be 0.375 0.375 0.876
Be 0.375 0.876 0.375
Be 0.876 0.375 0.375
```

***

LiHgPb2 | SCAN | PBEsol geometry Values from VASP.

Properties
* SG: P4/mmm
* E: -222.78 eV for the cell shown
* DFT formation energy: -0.7 eV/f.u.
* crystal system: tetragonal
* volume: 24.5 Å³/atom

Structure (Quantum ESPRESSO input):
```
&SYSTEM
  ibrav = 0, nat = 4, ntyp = 3
/
ATOMIC_SPECIES
Li 6.94 Li.upf
Hg 200.59 Hg.upf
Pb 207.20 Pb.upf
CELL_PARAMETERS angstrom
4.733 0.000 0.000
0.000 4.733 0.000
0.000 0.000 4.374
ATOMIC_POSITIONS crystal
Li 0.000 0.000 0.000
Hg 0.500 0.500 0.000
Pb 0.000 0.500 0.500
Pb 0.500 0.000 0.500
```

***

KCoPt2 | SCAN | PBEsol geometry Values from VASP.

Properties
* SG: Pmmm
* E: -164.26 eV for the cell shown
* DFT formation energy: 1.8 eV/f.u.
* crystal system: orthorhombic
* volume: 16.3 Å³/atom

Structure (Quantum ESPRESSO input):
```
&SYSTEM
  ibrav = 0, nat = 4, ntyp = 3
/
ATOMIC_SPECIES
K 39.10 K.upf
Co 58.93 Co.upf
Pt 195.08 Pt.upf
CELL_PARAMETERS angstrom
2.703 0.000 0.000
0.000 4.896 0.000
0.000 0.000 4.942
ATOMIC_POSITIONS crystal
K 0.000 0.000 0.000
Co 0.500 0.500 0.000
Pt 0.000 0.500 0.500
Pt 0.500 0.000 0.500
```

***

LiBe4Ag | SCAN | PBEsol geometry Values from VASP.

Properties
* SG: F-43m
* E: -51.79 eV for the cell shown
* DFT formation energy: -0.6 eV/f.u.
* crystal system: cubic
* volume: 9.9 Å³/atom

Structure (Quantum ESPRESSO input):
```
&SYSTEM
  ibrav = 0, nat = 6, ntyp = 3
/
ATOMIC_SPECIES
Li 6.94 Li.upf
Be 9.01 Be.upf
Ag 107.87 Ag.upf
CELL_PARAMETERS angstrom
0.000 3.095 3.095
3.095 0.000 3.095
3.095 3.095 0.000
ATOMIC_POSITIONS crystal
Li 0.000 0.000 0.000
Be 0.127 0.624 0.624
Be 0.624 0.127 0.624
Be 0.624 0.624 0.127
Be 0.624 0.624 0.624
Ag 0.250 0.250 0.250
```

***

La3YO | SCAN | PBEsol geometry Values from VASP.

Properties
* SG: Pm-3m
* E: -169.68 eV for the cell shown
* formation energy (no corrections): -1259 meV/atom
* crystal system: cubic
* volume: 26.4 Å³/atom

Structure (Quantum ESPRESSO input):
```
&SYSTEM
  ibrav = 0, nat = 5, ntyp = 3
/
ATOMIC_SPECIES
La 138.91 La.upf
Y 88.91 Y.upf
O 16.00 O.upf
CELL_PARAMETERS angstrom
5.092 0.000 0.000
0.000 5.092 0.000
0.000 0.000 5.092
ATOMIC_POSITIONS crystal
La 0.000 0.000 0.500
La 0.000 0.500 0.000
La 0.500 0.000 0.000
Y 0.500 0.500 0.500
O 0.000 0.000 0.000
```

***

ZrPRu2 | SCAN | PBEsol geometry Values from VASP.

Properties
* SG: Immm
* E: -112.82 eV for the cell shown
* DFT formation energy: -2.1 eV/f.u.
* crystal system: orthorhombic
* volume: 14.5 Å³/atom

Structure (Quantum ESPRESSO input):
```
&SYSTEM
  ibrav = 0, nat = 4, ntyp = 3
/
ATOMIC_SPECIES
Zr 91.22 Zr.upf
P 30.97 P.upf
Ru 101.07 Ru.upf
CELL_PARAMETERS angstrom
-1.472 2.264 4.349
1.472 -2.264 4.349
1.472 2.264 -4.349
ATOMIC_POSITIONS crystal
Zr 0.000 0.000 0.000
P 0.500 0.500 0.000
Ru 0.286 0.786 0.500
Ru 0.714 0.214 0.500
```

***

AgBr2 | SCAN | PBEsol geometry Values from VASP.

Properties
* SG: Pnnm
* E: -141.97 eV for the cell shown
* formation energy (no corrections): -233 meV/atom
* crystal system: orthorhombic
* volume: 26.3 Å³/atom

Structure (Quantum ESPRESSO input):
```
&SYSTEM
  ibrav = 0, nat = 6, ntyp = 2
/
ATOMIC_SPECIES
Ag 107.87 Ag.upf
Br 79.90 Br.upf
CELL_PARAMETERS angstrom
6.185 0.000 0.000
0.000 6.278 0.000
0.000 0.000 4.060
ATOMIC_POSITIONS crystal
Ag 0.000 0.000 0.000
Ag 0.500 0.500 0.500
Br 0.206 0.192 0.500
Br 0.294 0.692 0.000
Br 0.706 0.308 0.000
Br 0.794 0.808 0.500
```

***

MoHS2N | SCAN | PBEsol geometry Values from VASP.

Properties
* SG: P4/mmm
* E: -60.26 eV for the cell shown
* crystal system: tetragonal
* volume: 10.3 Å³/atom

Structure (Quantum ESPRESSO input):
```
&SYSTEM
  ibrav = 0, nat = 5, ntyp = 4
/
ATOMIC_SPECIES
Mo 95.94 Mo.upf
H 1.01 H.upf
S 32.06 S.upf
N 14.01 N.upf
CELL_PARAMETERS angstrom
3.322 0.000 0.000
0.000 3.322 0.000
0.000 0.000 4.645
ATOMIC_POSITIONS crystal
Mo 0.000 0.000 0.000
H 0.500 0.500 0.500
S 0.000 0.500 0.500
S 0.500 0.000 0.500
N 0.500 0.500 0.000
```

***

PPdI2 | SCAN | PBEsol geometry Values from VASP.

Properties
* SG: Fm-3m
* E: -113.20 eV for the cell shown
* formation energy (no corrections): 864 meV/atom
* crystal system: cubic
* volume: 21.5 Å³/atom

Structure (Quantum ESPRESSO input):
```
&SYSTEM
  ibrav = 0, nat = 4, ntyp = 3
/
ATOMIC_SPECIES
P 30.97 P.upf
Pd 106.42 Pd.upf
I 126.90 I.upf
CELL_PARAMETERS angstrom
0.000 3.505 3.505
3.505 0.000 3.505
3.505 3.505 0.000
ATOMIC_POSITIONS crystal
P 0.000 0.000 0.000
Pd 0.500 0.500 0.500
I 0.250 0.250 0.250
I 0.750 0.750 0.750
```

***

NiBiO3 | SCAN | PBEsol geometry Values from VASP.

Properties
* SG: R3c
* E: -238.32 eV for the cell shown
* formation energy (no corrections): -1142 meV/atom
* crystal system: trigonal
* volume: 11.0 Å³/atom

Structure (Quantum ESPRESSO input):
```
&SYSTEM
  ibrav = 0, nat = 10, ntyp = 3
/
ATOMIC_SPECIES
Ni 58.69 Ni.upf
Bi 208.98 Bi.upf
O 16.00 O.upf
CELL_PARAMETERS angstrom
2.709 1.564 4.345
-2.709 1.564 4.345
0.000 -3.128 4.345
ATOMIC_POSITIONS crystal
Ni 0.000 0.000 0.000
Ni 0.500 0.500 0.500
Bi 0.232 0.232 0.232
Bi 0.732 0.732 0.732
O 0.187 0.776 0.316
O 0.276 0.687 0.816
O 0.316 0.187 0.776
O 0.687 0.816 0.276
O 0.776 0.316 0.187
O 0.816 0.276 0.687
```

***

CaLa3 | SCAN | PBEsol geometry Values from VASP.

Properties
* SG: Pmmm
* E: -138.80 eV for the cell shown
* DFT formation energy: 0.2 eV/f.u.
* crystal system: orthorhombic
* volume: 35.4 Å³/atom

Structure (Quantum ESPRESSO input):
```
&SYSTEM
  ibrav = 0, nat = 4, ntyp = 2
/
ATOMIC_SPECIES
Ca 40.08 Ca.upf
La 138.91 La.upf
CELL_PARAMETERS angstrom
3.628 0.000 0.000
0.000 5.283 0.000
0.000 0.000 7.386
ATOMIC_POSITIONS crystal
Ca 0.000 0.000 0.000
La 0.000 0.000 0.500
La 0.500 0.500 0.269
La 0.500 0.500 0.731
```

***

NiHgCl2 | SCAN | PBEsol geometry Values from VASP.

Properties
* SG: R-3m
* E: -103.37 eV for the cell shown
* formation energy (no corrections): -769 meV/atom
* crystal system: trigonal
* volume: 21.7 Å³/atom

Structure (Quantum ESPRESSO input):
```
&SYSTEM
  ibrav = 0, nat = 4, ntyp = 3
/
ATOMIC_SPECIES
Ni 58.69 Ni.upf
Hg 200.59 Hg.upf
Cl 35.45 Cl.upf
CELL_PARAMETERS angstrom
1.687 0.974 8.795
-1.687 0.974 8.795
0.000 -1.948 8.795
ATOMIC_POSITIONS crystal
Ni 0.000 0.000 0.000
Hg 0.500 0.500 0.500
Cl 0.284 0.284 0.284
Cl 0.716 0.716 0.716
```

***

RbPtC3 | SCAN | PBEsol geometry Values from VASP.

Properties
* SG: Pm-3m
* E: -110.61 eV for the cell shown
* DFT formation energy: 10.6 eV/f.u.
* crystal system: cubic
* volume: 14.5 Å³/atom

Structure (Quantum ESPRESSO input):
```
&SYSTEM
  ibrav = 0, nat = 5, ntyp = 3
/
ATOMIC_SPECIES
Rb 85.47 Rb.upf
Pt 195.08 Pt.upf
C 12.01 C.upf
CELL_PARAMETERS angstrom
4.174 0.000 0.000
0.000 4.174 0.000
0.000 0.000 4.174
ATOMIC_POSITIONS crystal
Rb 0.000 0.000 0.000
Pt 0.500 0.500 0.500
C 0.000 0.500 0.500
C 0.500 0.000 0.500
C 0.500 0.500 0.000
```

***

LaScSi | SCAN | PBEsol geometry Values from VASP.

Properties
* SG: I4/mmm
* E: -138.79 eV for the cell shown
* formation energy (no corrections): -679 meV/atom
* crystal system: tetragonal
* volume: 24.3 Å³/atom

Structure (Quantum ESPRESSO input):
```
&SYSTEM
  ibrav = 0, nat = 6, ntyp = 3
/
ATOMIC_SPECIES
La 138.91 La.upf
Sc 44.96 Sc.upf
Si 28.09 Si.upf
CELL_PARAMETERS angstrom
-2.139 2.139 7.955
2.139 -2.139 7.955
2.139 2.139 -7.955
ATOMIC_POSITIONS crystal
La 0.177 0.177 0.000
La 0.823 0.823 0.000
Sc 0.000 0.500 0.500
Sc 0.500 0.000 0.500
Si 0.382 0.382 0.000
Si 0.618 0.618 0.000
```

***

LiAgC2O4 | SCAN | PBEsol geometry Values from VASP.

Properties
* SG: P2_1
* E: -177.97 eV for the cell shown
* formation energy (no corrections): -1263 meV/atom
* crystal system: monoclinic
* volume: 10.6 Å³/atom

Structure (Quantum ESPRESSO input):
```
&SYSTEM
  ibrav = 0, nat = 16, ntyp = 4
/
ATOMIC_SPECIES
Li 6.94 Li.upf
Ag 107.87 Ag.upf
C 12.01 C.upf
O 16.00 O.upf
CELL_PARAMETERS angstrom
3.410 0.000 0.000
0.000 4.760 0.000
-0.659 0.000 10.454
ATOMIC_POSITIONS crystal
Li 0.203 0.000 0.404
Li 0.797 0.500 0.596
Ag 0.093 0.609 0.924
Ag 0.907 0.109 0.076
C 0.337 0.022 0.669
C 0.438 0.635 0.209
C 0.562 0.135 0.791
C 0.663 0.522 0.331
O 0.163 0.791 0.677
O 0.233 0.852 0.223
O 0.349 0.180 0.571
O 0.472 0.507 0.104
O 0.528 0.007 0.896
O 0.651 0.680 0.429
O 0.767 0.352 0.777
O 0.837 0.291 0.323
```